Computed, not measured: crystalline Tl8In3Pb at its relaxed geometry at the PBE level of DFT.

Cell: 8.3628 8.3628 6.6097 Å, 90.00 90.00 120.00°
Sites, in units of the cell vectors:
Tl (0.6667, 0.3333, 0.5000)
In (0.3333, 0.6667, 0.9999)
Tl (0.3319, 0.3318, 0.7722)
Tl (0.6682, 0.0000, 0.7722)
Tl (0.0000, 0.6681, 0.7722)
Tl (0.3333, 0.6667, 0.5000)
Tl (0.6681, 0.6682, 0.2278)
Tl (0.0000, 0.3319, 0.2278)
Pb (0.0000, 0.0000, 0.5000)
In (0.0000, 0.0000, 0.0000)
Tl (0.3318, 0.0000, 0.2278)
In (0.6667, 0.3333, 0.0001)

Values from the calculation:
**Magnetic moment**: 0.0 μB per formula unit
**ΔH_f (0 K)**: 0.125 eV per atom

Computed, not measured: crystalline Tl5In2Pb at its relaxed geometry at the PBE level of DFT.

Cell: 5.1855 6.8170 13.5748 Å, 90.00 90.00 90.00°
Sites, in units of the cell vectors:
Pb (0.0000, 0.0000, 0.5000)
In (0.5000, 0.2414, 0.6214)
Tl (0.5000, 0.2561, 0.3735)
Pb (0.0000, 0.5000, 0.0000)
Tl (0.0000, 0.0000, 0.0000)
Tl (0.5000, 0.2439, 0.8735)
In (0.5000, 0.7586, 0.3786)
Tl (0.5000, 0.7561, 0.1265)
Tl (0.0000, 0.5000, 0.5000)
Tl (0.0000, 0.5118, 0.2493)
In (0.5000, 0.2586, 0.1214)
Tl (0.5000, 0.7439, 0.6265)
Tl (0.0000, 0.4882, 0.7507)
Tl (0.0000, 0.9882, 0.7493)
Tl (0.0000, 0.0118, 0.2507)
In (0.5000, 0.7414, 0.8786)

Values from the calculation:
**Magnetic moment**: 0.0 μB per formula unit
**Energy above the lowest structure with this stoichiometry**: 0 meV/atom
**ΔH_f (0 K)**: 0.018 eV per atom

Computed, not measured: crystalline TlIn2Pb2 at its relaxed geometry at the PBE level of DFT.

Cell: 9.1996 9.1996 3.6784 Å, 90.00 90.00 90.00°
Sites, in units of the cell vectors:
In (0.1583, 0.6583, 0.5000)
Pb (0.6386, 0.1386, 0.0000)
Pb (0.3614, 0.8614, 0.0000)
Pb (0.1386, 0.3614, 0.0000)
In (0.6583, 0.8417, 0.5000)
In (0.3417, 0.1583, 0.5000)
Tl (0.5000, 0.5000, 0.0000)
In (0.8417, 0.3417, 0.5000)
Pb (0.8614, 0.6386, 0.0000)
Tl (0.0000, 0.0000, 0.0000)

Values from the calculation:
**Magnetic moment**: 0.0 μB per formula unit
**Energy above the lowest structure with this stoichiometry**: 56 meV/atom
**ΔH_f (0 K)**: 0.071 eV per atom

Computed, not measured: crystalline Tl3In5Pb2 at its relaxed geometry at the PBE level of DFT.

Cell: 6.6493 9.6363 9.6366 Å, 107.41 91.02 91.02°
Sites, in units of the cell vectors:
In (0.6535, 0.2662, 0.9826)
Tl (0.3813, 0.5203, 0.2115)
Tl (0.7500, 0.9450, 0.0550)
Pb (0.6192, 0.8655, 0.3824)
Tl (0.1187, 0.7885, 0.4797)
Tl (0.6187, 0.4797, 0.7885)
In (0.9953, 0.7016, 0.7817)
In (0.0047, 0.2984, 0.2183)
In (0.5047, 0.2183, 0.2984)
In (0.8465, 0.0174, 0.7338)
In (0.7500, 0.5406, 0.4594)
In (0.1535, 0.9826, 0.2662)
Pb (0.1192, 0.3824, 0.8655)
Tl (0.8813, 0.2115, 0.5203)
Pb (0.8808, 0.6176, 0.1345)
In (0.2500, 0.4594, 0.5406)
Pb (0.3808, 0.1345, 0.6176)
In (0.4953, 0.7817, 0.7016)
In (0.3465, 0.7338, 0.0174)
Tl (0.2500, 0.0550, 0.9450)

Values from the calculation:
**Magnetic moment**: 0.0 μB per formula unit
**ΔH_f (0 K)**: 0.034 eV per atom

Computed, not measured: crystalline Tl17In11Pb at its relaxed geometry at the PBE level of DFT.

Cell: 10.2798 10.2798 10.5580 Å, 108.93 108.93 109.53°
Sites, in units of the cell vectors:
Tl (0.0018, 0.0018, 0.3618)
In (0.9966, 0.8080, 0.6272)
In (0.3703, 0.1810, 0.3763)
Tl (0.6376, 0.6376, 0.6394)
Tl (0.2851, 0.6820, 0.6814)
Tl (0.3175, 0.6051, 0.0003)
In (0.0013, 0.6359, 0.8159)
Tl (0.3218, 0.9992, 0.6044)
Tl (0.9960, 0.3590, 0.0002)
Tl (0.3590, 0.9960, 0.0002)
Tl (0.9992, 0.3218, 0.6044)
Tl (0.7206, 0.3990, 0.3979)
Tl (0.3991, 0.3991, 0.7223)
In (0.8080, 0.9966, 0.6272)
In (0.1860, 0.8196, 0.1848)
Tl (0.6825, 0.6825, 0.2806)
In (0.6320, 0.8128, 0.9984)
Tl (0.6066, 0.0029, 0.3195)
Tl (0.6051, 0.3175, 0.0003)
In (0.1804, 0.1804, 0.8113)
Tl (0.6820, 0.2851, 0.6814)
Tl (0.3990, 0.7206, 0.3979)
In (0.1810, 0.3703, 0.3763)
In (0.8196, 0.1860, 0.1848)
Tl (0.9992, 0.9992, 0.9992)
Tl (0.0029, 0.6066, 0.3195)
In (0.6359, 0.0013, 0.8159)
Pb (0.3610, 0.3610, 0.1733)
In (0.8128, 0.6320, 0.9984)

Values from the calculation:
**Magnetic moment**: 0.0 μB per formula unit
**ΔH_f (0 K)**: 0.010 eV per atom

Computed, not measured: crystalline TlIn6Pb at its relaxed geometry at the PBE level of DFT.

Cell: 5.5044 6.6489 6.6489 Å, 111.09 90.00 90.00°
Sites, in units of the cell vectors:
In (0.0000, 0.6356, 0.9297)
In (0.5000, 0.4296, 0.1358)
In (0.5000, 0.8642, 0.5704)
In (0.5000, 0.9236, 0.0764)
In (0.0000, 0.5800, 0.4200)
In (0.0000, 0.0703, 0.3644)
Pb (0.0000, 0.1253, 0.8747)
Tl (0.5000, 0.3711, 0.6289)

Values from the calculation:
**Magnetic moment**: 0.0 μB per formula unit
**Energy above the lowest structure with this stoichiometry**: 0 meV/atom
**ΔH_f (0 K)**: 0.017 eV per atom

Computed, not measured: crystalline Tl2In2Pb at its relaxed geometry at the PBE level of DFT.

Cell: 3.3774 5.3335 8.6203 Å, 106.25 90.00 90.00°
Sites, in units of the cell vectors:
In (0.0000, 0.2029, 0.4014)
In (0.0000, 0.7971, 0.5986)
Pb (0.0000, 0.0000, 0.0000)
Tl (0.5000, 0.6058, 0.2123)
Tl (0.5000, 0.3942, 0.7877)

Values from the calculation:
**Magnetic moment**: 0.0 μB per formula unit
**Energy above the lowest structure with this stoichiometry**: 8 meV/atom
**ΔH_f (0 K)**: 0.024 eV per atom

Computed, not measured: crystalline TlInPb2 at its relaxed geometry at the PBE level of DFT.

Cell: 5.5982 5.5982 5.5982 Å, 60.00 60.00 60.00°
Sites, in units of the cell vectors:
In (0.5000, 0.5000, 0.5000)
Pb (0.2500, 0.2500, 0.2500)
Pb (0.0000, 0.0000, 0.0000)
Tl (0.7500, 0.7500, 0.7500)

Values from the calculation:
**Magnetic moment**: 0.0 μB per formula unit
**Energy above the lowest structure with this stoichiometry**: 46 meV/atom
**ΔH_f (0 K)**: 0.047 eV per atom